1.
This record from Alexandria describes a geometry-optimized Ho2CrO5 structure. The functional is PBE with a Hubbard U.

Cell lengths 6.7966, 6.9501, 9.4088 Å; angles 90.00, 98.13, 90.00 degrees
Closest atoms and distances in Å follow each position.
Element x y z (fractional)
Ho 0.7301 0.8827 0.0337  6 O 2.24-2.42
Ho 0.2301 0.6173 0.0337  6 O 2.24-2.42
Ho 0.4791 0.8547 0.3450  7 O 2.25-2.40
Ho 0.9791 0.6453 0.3450  7 O 2.25-2.40
Ho 0.0209 0.3547 0.6550  7 O 2.25-2.40
Ho 0.5209 0.1453 0.6550  7 O 2.25-2.40
Ho 0.7699 0.3827 0.9663  6 O 2.24-2.42
Ho 0.2699 0.1173 0.9663  6 O 2.24-2.42
Cr 0.4826 0.3930 0.2998  4 O 1.77-1.86
Cr 0.9826 0.1070 0.2998  4 O 1.77-1.86
Cr 0.0174 0.8930 0.7002  4 O 1.77-1.86
Cr 0.5174 0.6070 0.7002  4 O 1.77-1.86
O 0.9607 0.1425 0.1051  1 Cr 1.83
O 0.9160 0.6194 0.1040  4 Ho 2.24-2.32
O 0.4607 0.3575 0.1051  1 Cr 1.83
O 0.4160 0.8806 0.1040  4 Ho 2.24-2.32
O 0.7799 0.9249 0.2790  1 Cr 1.86
O 0.9897 0.3179 0.4057  1 Cr 1.77
O 0.2799 0.5751 0.2790  1 Cr 1.86
O 0.6598 0.5737 0.3597  1 Cr 1.78
O 0.4897 0.1821 0.4057  1 Cr 1.77
O 0.1598 0.9263 0.3597  1 Cr 1.78
O 0.8402 0.0737 0.6403  1 Cr 1.78
O 0.5103 0.8179 0.5943  1 Cr 1.77
O 0.3402 0.4263 0.6403  1 Cr 1.78
O 0.7201 0.4249 0.7210  1 Cr 1.86
O 0.0103 0.6821 0.5943  1 Cr 1.77
O 0.2201 0.0751 0.7210  1 Cr 1.86
O 0.5840 0.1194 0.8960  4 Ho 2.24-2.32
O 0.5393 0.6425 0.8949  1 Cr 1.83
O 0.0840 0.3806 0.8960  4 Ho 2.24-2.32
O 0.0393 0.8575 0.8949  1 Cr 1.83

E (eV/atom): -8.036



2.
This record from Alexandria describes a geometry-optimized Ho3CrO6 structure. The functional is PBE with a Hubbard U.

Cell lengths 6.4904, 6.4904, 6.4904 Å; angles 92.48, 92.48, 92.48 degrees
Closest atoms and distances in Å follow each position.
Element x y z (fractional)
Ho 0.4358 0.9279 0.7452  6 O 2.22-2.32
Ho 0.9279 0.7452 0.4358  6 O 2.22-2.32
Ho 0.2548 0.5642 0.0721  6 O 2.22-2.32
Ho 0.7452 0.4358 0.9279  6 O 2.22-2.32
Ho 0.0721 0.2548 0.5642  6 O 2.22-2.32
Ho 0.5642 0.0721 0.2548  6 O 2.22-2.32
Cr 0.0000 0.0000 0.0000  6 O 2.08
Cr 0.5000 0.5000 0.5000  6 O 2.04
O 0.3016 0.9198 0.0686  1 Cr 2.08, 3 Ho 2.22-2.32
O 0.0802 0.9314 0.6984  1 Cr 2.08, 3 Ho 2.22-2.32
O 0.5877 0.7999 0.4592  1 Cr 2.04, 2 Ho 2.26
O 0.9314 0.6984 0.0802  1 Cr 2.08, 3 Ho 2.22-2.32
O 0.4592 0.5877 0.7999  1 Cr 2.04, 2 Ho 2.26
O 0.2001 0.5408 0.4123  1 Cr 2.04, 2 Ho 2.26
O 0.7999 0.4592 0.5877  1 Cr 2.04, 2 Ho 2.26
O 0.5408 0.4123 0.2001  1 Cr 2.04, 2 Ho 2.26
O 0.0686 0.3016 0.9198  1 Cr 2.08, 3 Ho 2.22-2.32
O 0.4123 0.2001 0.5408  1 Cr 2.04, 2 Ho 2.26
O 0.9198 0.0686 0.3016  1 Cr 2.08, 3 Ho 2.22-2.32
O 0.6984 0.0802 0.9314  1 Cr 2.08, 3 Ho 2.22-2.32

Excess energy over the best structure of this formula in the dataset (eV/atom): 0.000
E (eV/atom): -8.313